[1]
5
Lattice="4.573 0.000 0.000 0.000 4.573 0.000 0.000 0.000 4.573" Properties=species:S:1:pos:R:3 comment="TaTc3Pt, optimized geometry, DFT GGA-PBEsol" relative_energy_mev_per_atom=0 sg="No. 221" delta_e_f_ev_per_atom=1.965 pbc="T T T"
Ta 0.000 0.000 0.000
Tc 0.000 0.000 2.287
Tc 0.000 2.287 0.000
Tc 2.287 0.000 0.000
Pt 2.287 2.287 2.287



[2]
4
Lattice="2.857 0.000 0.000 0.000 4.606 0.000 0.000 0.000 5.461" Properties=species:S:1:pos:R:3 comment="TaTePt2, optimized geometry, DFT GGA-PBEsol" e_form_raw_ev_per_atom=-0.108 sg="No. 25" pbc="T T T"
Ta 0.000 0.000 0.000
Te 1.429 2.303 1.765
Pt 1.429 0.000 3.056
Pt 1.429 2.303 4.616